Entry 1:
{"formula": "Li2BeCdTe", "functional": "PBE", "state": "optimized geometry", "dft_energy_ev_per_cell": -10.66, "vol_a3_per_atom": 24.6, "dos_at_fermi_per_ev_cell": 2.891, "crystal_system": "tetragonal", "e_form_raw_mev_per_atom": 191, "lattice": [[5.1770, 0.0000, 0.0000], [0.0000, 4.5801, 0.0000], [0.0000, 0.0000, 5.1770]], "species": ["Be", "Li", "Li", "Cd", "Te"], "frac_coords": [[0.0000, 0.0000, 0.0000], [0.5000, 0.0000, 0.0000], [0.0000, 0.0000, 0.5000], [0.5000, 0.5000, 0.5000], [0.0000, 0.5000, 0.0000]]}



Entry 2:
{"formula": "LiTmBeCd", "functional": "PBE", "state": "optimized geometry", "dft_energy_ev_per_cell": -11.27, "vol_a3_per_atom": 17.3, "dos_at_fermi_per_ev_cell": 0.650, "crystal_system": "cubic", "lattice": [[4.6083, 0.0000, 0.0000], [2.3041, 3.9909, 0.0000], [2.3041, 1.3303, 3.7626]], "species": ["Be", "Tm", "Cd", "Li"], "frac_coords": [[0.5000, 0.5000, 0.5000], [0.2500, 0.2500, 0.2500], [0.7500, 0.7500, 0.7500], [0.0000, 0.0000, 0.0000]]}



Entry 3:
{"formula": "LiBeV2Cd", "functional": "PBE", "state": "optimized geometry", "dft_energy_ev_per_cell": -17.74, "vol_a3_per_atom": 23.4, "dos_at_fermi_per_ev_cell": 6.888, "crystal_system": "tetragonal", "lattice": [[5.1479, 0.0000, 0.0000], [0.0000, 4.4090, 0.0000], [0.0000, 0.0000, 5.1479]], "species": ["Be", "V", "V", "Li", "Cd"], "frac_coords": [[0.0000, 0.5000, 0.0000], [0.5000, 0.0000, 0.0000], [0.0000, 0.0000, 0.5000], [0.5000, 0.5000, 0.5000], [0.0000, 0.0000, 0.0000]]}



Entry 4:
{"formula": "LiYBeCd", "functional": "PBE", "state": "optimized geometry", "dft_energy_ev_per_cell": -13.37, "vol_a3_per_atom": 17.9, "dos_at_fermi_per_ev_cell": 0.674, "crystal_system": "cubic", "lattice": [[4.6589, 0.0000, 0.0000], [2.3294, 4.0347, 0.0000], [2.3294, 1.3449, 3.8040]], "species": ["Cd", "Li", "Y", "Be"], "frac_coords": [[0.5000, 0.5000, 0.5000], [0.7500, 0.7500, 0.7500], [0.0000, 0.0000, 0.0000], [0.2500, 0.2500, 0.2500]]}



Entry 5:
{"formula": "Lu2BeCd", "functional": "PBE", "state": "optimized geometry", "dft_energy_ev_per_cell": -14.19, "vol_a3_per_atom": 21.4, "dos_at_fermi_per_ev_cell": 2.790, "crystal_system": "tetragonal", "lattice": [[-0.5307, -1.8716, -2.7774], [1.6092, -2.6087, 1.4504], [-6.4455, -2.3942, 2.8450]], "species": ["Be", "Cd", "Lu", "Lu"], "frac_coords": [[0.5000, 0.5000, 0.0000], [0.5000, 0.5000, 0.5000], [0.0000, 0.0000, 0.2167], [0.0000, 0.0000, 0.7833]]}



Entry 6:
{"formula": "Lu2BeCd", "functional": "PBE", "state": "optimized geometry", "dft_energy_ev_per_cell": -13.89, "vol_a3_per_atom": 21.9, "dos_at_fermi_per_ev_cell": 2.398, "crystal_system": "cubic", "lattice": [[4.9824, 0.0000, 0.0000], [2.4912, 4.3149, 0.0000], [2.4912, 1.4383, 4.0681]], "species": ["Lu", "Lu", "Cd", "Be"], "frac_coords": [[0.2500, 0.2500, 0.2500], [0.7500, 0.7500, 0.7500], [0.5000, 0.5000, 0.5000], [0.0000, 0.0000, 0.0000]]}



Entry 7:
{"formula": "LuMgBeCd", "functional": "PBE", "state": "optimized geometry", "dft_energy_ev_per_cell": -10.76, "vol_a3_per_atom": 19.6, "dos_at_fermi_per_ev_cell": 1.724, "crystal_system": "cubic", "lattice": [[4.8065, 0.0000, 0.0000], [2.4032, 4.1625, 0.0000], [2.4032, 1.3875, 3.9245]], "species": ["Lu", "Cd", "Be", "Mg"], "frac_coords": [[0.7500, 0.7500, 0.7500], [0.0000, 0.0000, 0.0000], [0.5000, 0.5000, 0.5000], [0.2500, 0.2500, 0.2500]]}



Entry 8:
{"formula": "LuScBeCd", "functional": "PBE", "state": "optimized geometry", "dft_energy_ev_per_cell": -15.72, "vol_a3_per_atom": 20.6, "dos_at_fermi_per_ev_cell": 2.670, "crystal_system": "cubic", "lattice": [[-0.2096, -2.8281, -3.9781], [3.9245, -0.4722, -2.8710], [2.4428, -4.2291, -0.1220]], "species": ["Cd", "Be", "Lu", "Sc"], "frac_coords": [[0.5000, 0.5000, 0.5000], [0.0000, 0.0000, 0.0000], [0.2500, 0.2500, 0.2500], [0.7500, 0.7500, 0.7500]]}



Entry 9:
{"formula": "SmLuBeCd", "functional": "PBE", "state": "optimized geometry", "dft_energy_ev_per_cell": -13.98, "vol_a3_per_atom": 23.4, "dos_at_fermi_per_ev_cell": 4.025, "crystal_system": "cubic", "lattice": [[-4.7175, 1.8788, -0.4451], [-3.6268, -1.4121, 3.2917], [-1.7538, 3.3263, 3.4413]], "species": ["Sm", "Lu", "Cd", "Be"], "frac_coords": [[0.5000, 0.5000, 0.5000], [0.0000, 0.0000, 0.0000], [0.2500, 0.2500, 0.2500], [0.7500, 0.7500, 0.7500]]}



Entry 10:
{"formula": "MgBeCd2", "functional": "PBE", "state": "optimized geometry", "dft_energy_ev_per_cell": -6.32, "vol_a3_per_atom": 19.4, "dos_at_fermi_per_ev_cell": 1.233, "crystal_system": "orthorhombic", "lattice": [[-0.4379, 0.8660, -6.4944], [-4.0638, -2.5160, -4.5026], [1.4925, 3.3858, 5.4247]], "species": ["Cd", "Cd", "Be", "Mg"], "frac_coords": [[0.0655, 0.0655, 0.0000], [0.4345, 0.4345, 0.0000], [0.2500, 0.7500, 0.5000], [0.7500, 0.2500, 0.5000]]}



Entry 11:
{"formula": "MgBe2Cd2", "functional": "PBE", "state": "optimized geometry", "dft_energy_ev_per_cell": -8.97, "vol_a3_per_atom": 17.6, "dos_at_fermi_per_ev_cell": 2.109, "crystal_system": "tetragonal", "lattice": [[-3.2067, 1.2107, 2.2398], [-0.9955, -3.9115, 0.6892], [0.9102, -1.3566, 5.7790]], "species": ["Be", "Be", "Cd", "Cd", "Mg"], "frac_coords": [[0.4026, 0.4026, 0.1947], [0.5974, 0.5974, 0.8053], [0.2500, 0.7500, 0.5000], [0.7500, 0.2500, 0.5000], [0.0000, 0.0000, 0.0000]]}



Entry 12:
{"formula": "MgBeCd2", "functional": "PBE", "state": "optimized geometry", "dft_energy_ev_per_cell": -6.30, "vol_a3_per_atom": 18.6, "dos_at_fermi_per_ev_cell": 0.787, "crystal_system": "monoclinic", "lattice": [[-1.9462, -3.7733, -0.9958], [1.8791, -0.2887, -2.5786], [4.5611, -2.7696, 1.5807]], "species": ["Cd", "Cd", "Be", "Mg"], "frac_coords": [[0.0000, 0.8175, 0.9876], [0.5000, 0.1943, 0.2393], [0.5000, 0.9412, 0.7344], [0.0000, 0.5470, 0.5387]]}